# Nd2AsPt

Nd2AsPt after structural relaxation (PBE-GGA, the Alexandria database).

Cell: 4.319 4.118 11.982 Å, 99.89 90.00 90.00°
Positions (direct):
Nd: 0.250 0.064 0.129
Nd: 0.750 0.936 0.871
Nd: 0.250 0.315 0.630
Nd: 0.750 0.685 0.370
Pt: 0.250 0.458 0.916
Pt: 0.750 0.542 0.084
As: 0.750 0.812 0.623
As: 0.250 0.188 0.377

energy of formation	-1.25	eV/atom
excess energy over the best structure of this formula in the dataset	0	meV/atom